(1)
The following is a PBE calculation of a relaxed structure of DyErPdPb, from the Alexandria database.

Cell: 7.338 7.338 7.338 Å, 90.00 90.00 90.00°
Sites, in units of the cell vectors:
Dy  0.000  0.000  0.000
Dy  0.000  0.500  0.500
Dy  0.500  0.000  0.500
Dy  0.500  0.500  0.000
Er  0.000  0.000  0.500
Er  0.000  0.500  0.000
Er  0.500  0.000  0.000
Er  0.500  0.500  0.500
Pd  0.250  0.250  0.750
Pd  0.250  0.750  0.250
Pd  0.750  0.250  0.250
Pd  0.750  0.750  0.750
Pb  0.250  0.250  0.250
Pb  0.250  0.750  0.750
Pb  0.750  0.250  0.750
Pb  0.750  0.750  0.250

Properties
formation energy from the elements = -617 meV/atom
space-group type = F-43m, No. 216

=====

(2)
The following is a PBE calculation of a relaxed structure of PmDyErPb, from the Alexandria database.

Cell: 7.753 7.753 7.753 Å, 90.00 90.00 90.00°
Sites, in units of the cell vectors:
Pm  0.000  0.000  0.000
Pm  0.000  0.500  0.500
Pm  0.500  0.000  0.500
Pm  0.500  0.500  0.000
Dy  0.250  0.250  0.750
Dy  0.250  0.750  0.250
Dy  0.750  0.250  0.250
Dy  0.750  0.750  0.750
Er  0.250  0.250  0.250
Er  0.250  0.750  0.750
Er  0.750  0.250  0.750
Er  0.750  0.750  0.250
Pb  0.000  0.000  0.500
Pb  0.000  0.500  0.000
Pb  0.500  0.000  0.000
Pb  0.500  0.500  0.500

Properties
formation energy from the elements = -78 meV/atom
space-group type = F-43m, No. 216

=====

(3)
The following is a PBE calculation of a relaxed structure of Pm3Dy2Er6Pb, from the Alexandria database.

Cell: 6.113 6.113 11.636 Å, 95.06 95.06 119.99°
Sites, in units of the cell vectors:
Pm  0.000  0.000  0.000
Pm  0.333  0.667  0.000
Pm  0.667  0.333  0.000
Dy  0.166  0.834  0.500
Dy  0.834  0.166  0.500
Er  0.091  0.420  0.255
Er  0.252  0.252  0.746
Er  0.420  0.091  0.255
Er  0.580  0.909  0.745
Er  0.748  0.748  0.254
Er  0.909  0.580  0.745
Pb  0.500  0.500  0.500

Properties
formation energy from the elements = -50 meV/atom
space-group type = C2/m, No. 12

=====

(4)
The following is a PBE calculation of a relaxed structure of DyErPuPb, from the Alexandria database.

Cell: 7.709 7.709 7.709 Å, 90.00 90.00 90.00°
Sites, in units of the cell vectors:
Dy  0.000  0.000  0.000
Dy  0.000  0.500  0.500
Dy  0.500  0.000  0.500
Dy  0.500  0.500  0.000
Er  0.250  0.250  0.250
Er  0.250  0.750  0.750
Er  0.750  0.250  0.750
Er  0.750  0.750  0.250
Pu  0.000  0.000  0.500
Pu  0.000  0.500  0.000
Pu  0.500  0.000  0.000
Pu  0.500  0.500  0.500
Pb  0.250  0.250  0.750
Pb  0.250  0.750  0.250
Pb  0.750  0.250  0.250
Pb  0.750  0.750  0.750

Properties
formation energy from the elements = 3 meV/atom
space-group type = F-43m, No. 216

=====

(5)
The following is a PBE calculation of a relaxed structure of DyErRuPb, from the Alexandria database.

Cell: 7.208 7.208 7.208 Å, 90.00 90.00 90.00°
Sites, in units of the cell vectors:
Dy  0.000  0.000  0.000
Dy  0.000  0.500  0.500
Dy  0.500  0.000  0.500
Dy  0.500  0.500  0.000
Er  0.000  0.000  0.500
Er  0.000  0.500  0.000
Er  0.500  0.000  0.000
Er  0.500  0.500  0.500
Ru  0.250  0.250  0.250
Ru  0.250  0.750  0.750
Ru  0.750  0.250  0.750
Ru  0.750  0.750  0.250
Pb  0.250  0.250  0.750
Pb  0.250  0.750  0.250
Pb  0.750  0.250  0.250
Pb  0.750  0.750  0.750

Properties
formation energy from the elements = -277 meV/atom
space-group type = F-43m, No. 216

=====

(6)
The following is a PBE calculation of a relaxed structure of DyErPbS, from the Alexandria database.

Cell: 3.769 3.772 8.395 Å, 77.12 77.11 60.29°
Sites, in units of the cell vectors:
Dy  0.000  0.000  0.000
Er  0.203  0.201  0.392
Pb  0.437  0.432  0.696
S  0.601  0.600  0.197

Properties
space-group type = P1, No. 1
raw formation energy = -116 kJ/mol of atoms

=====

(7)
The following is a PBE calculation of a relaxed structure of Dy4ErPbS8, from the Alexandria database.

Cell: 8.122 8.122 8.122 Å, 60.19 60.19 60.19°
Sites, in units of the cell vectors:
Dy  0.000  0.000  0.000
Dy  0.377  0.377  0.869
Dy  0.377  0.869  0.377
Dy  0.869  0.377  0.377
Er  0.377  0.377  0.377
Pb  0.751  0.751  0.751
S  0.133  0.133  0.133
S  0.134  0.134  0.601
S  0.134  0.601  0.134
S  0.167  0.610  0.610
S  0.601  0.134  0.134
S  0.610  0.167  0.610
S  0.610  0.610  0.167
S  0.612  0.612  0.612

Properties
space-group type = R3m, No. 160
raw formation energy = -171 kJ/mol of atoms

=====

(8)
The following is a PBE calculation of a relaxed structure of DyEr4PbS8, from the Alexandria database.

Cell: 8.111 8.111 8.111 Å, 59.75 59.75 59.75°
Sites, in units of the cell vectors:
Dy  0.000  0.000  0.000
Er  0.000  0.000  0.492
Er  0.000  0.492  0.000
Er  0.492  0.000  0.000
Er  0.623  0.623  0.623
Pb  0.372  0.372  0.372
S  0.225  0.754  0.754
S  0.233  0.233  0.233
S  0.235  0.235  0.790
S  0.235  0.790  0.235
S  0.754  0.225  0.754
S  0.754  0.754  0.225
S  0.756  0.756  0.756
S  0.790  0.235  0.235

Properties
space-group type = R3m, No. 160
raw formation energy = -170 kJ/mol of atoms

=====

(9)
The following is a PBE calculation of a relaxed structure of Sm3Dy6Er2Pb, from the Alexandria database.

Cell: 6.135 6.135 11.653 Å, 95.09 95.09 120.03°
Sites, in units of the cell vectors:
Sm  0.000  0.000  0.000
Sm  0.332  0.668  0.000
Sm  0.668  0.332  0.000
Dy  0.091  0.419  0.255
Dy  0.252  0.252  0.747
Dy  0.419  0.091  0.255
Dy  0.581  0.909  0.745
Dy  0.748  0.748  0.253
Dy  0.909  0.581  0.745
Er  0.166  0.834  0.500
Er  0.834  0.166  0.500
Pb  0.500  0.500  0.500

Properties
formation energy from the elements = -45 meV/atom
space-group type = C2/m, No. 12

=====

(10)
The following is a PBE calculation of a relaxed structure of Sm3Dy2Er6Pb, from the Alexandria database.

Cell: 6.102 6.102 11.630 Å, 95.06 95.06 120.01°
Sites, in units of the cell vectors:
Sm  0.000  0.000  0.000
Sm  0.333  0.667  0.000
Sm  0.667  0.333  0.000
Dy  0.166  0.834  0.500
Dy  0.834  0.166  0.500
Er  0.091  0.419  0.254
Er  0.253  0.253  0.747
Er  0.419  0.091  0.254
Er  0.581  0.909  0.746
Er  0.747  0.747  0.253
Er  0.909  0.581  0.746
Pb  0.500  0.500  0.500

Properties
formation energy from the elements = -50 meV/atom
space-group type = C2/m, No. 12

=====

(11)
The following is a PBE calculation of a relaxed structure of Sm2Dy3Er6Pb, from the Alexandria database.

Cell: 6.069 6.069 11.669 Å, 95.00 95.00 120.03°
Sites, in units of the cell vectors:
Sm  0.166  0.834  0.000
Sm  0.834  0.166  0.000
Dy  0.000  0.000  0.500
Dy  0.333  0.667  0.500
Dy  0.667  0.333  0.500
Er  0.090  0.418  0.750
Er  0.255  0.255  0.251
Er  0.418  0.090  0.750
Er  0.582  0.910  0.250
Er  0.745  0.745  0.749
Er  0.910  0.582  0.250
Pb  0.500  0.500  0.000

Properties
formation energy from the elements = -62 meV/atom
space-group type = C2/m, No. 12

=====

(12)
The following is a PBE calculation of a relaxed structure of DyErSnPb, from the Alexandria database.

Cell: 7.618 7.618 7.618 Å, 90.00 90.00 90.00°
Sites, in units of the cell vectors:
Dy  0.000  0.000  0.000
Dy  0.000  0.500  0.500
Dy  0.500  0.000  0.500
Dy  0.500  0.500  0.000
Er  0.000  0.000  0.500
Er  0.000  0.500  0.000
Er  0.500  0.000  0.000
Er  0.500  0.500  0.500
Sn  0.250  0.250  0.250
Sn  0.250  0.750  0.750
Sn  0.750  0.250  0.750
Sn  0.750  0.750  0.250
Pb  0.250  0.250  0.750
Pb  0.250  0.750  0.250
Pb  0.750  0.250  0.250
Pb  0.750  0.750  0.750

Properties
formation energy from the elements = -447 meV/atom
space-group type = F-43m, No. 216

=====

(13)
The following is a PBE calculation of a relaxed structure of Tb2Dy6Er3Pb, from the Alexandria database.

Cell: 6.074 6.074 11.663 Å, 95.00 95.00 120.03°
Sites, in units of the cell vectors:
Tb  0.166  0.834  0.000
Tb  0.834  0.166  0.000
Dy  0.088  0.417  0.750
Dy  0.254  0.254  0.251
Dy  0.417  0.088  0.750
Dy  0.583  0.912  0.250
Dy  0.746  0.746  0.749
Dy  0.912  0.583  0.250
Er  0.000  0.000  0.500
Er  0.333  0.667  0.500
Er  0.667  0.333  0.500
Pb  0.500  0.500  0.000

Properties
formation energy from the elements = -53 meV/atom
space-group type = C2/m, No. 12

=====

(14)
The following is a PBE calculation of a relaxed structure of DyErTePb, from the Alexandria database.

Cell: 4.394 4.394 6.194 Å, 90.00 90.00 90.00°
Sites, in units of the cell vectors:
Dy  0.000  0.000  0.000
Er  0.500  0.500  0.500
Te  0.000  0.000  0.500
Pb  0.500  0.500  0.000

Properties
space-group type = P4/mmm, No. 123
raw formation energy = -88 kJ/mol of atoms

=====

(15)
The following is a PBE calculation of a relaxed structure of DyErTlPb, from the Alexandria database.

Cell: 7.624 7.624 7.624 Å, 90.00 90.00 90.00°
Sites, in units of the cell vectors:
Dy  0.000  0.000  0.000
Dy  0.000  0.500  0.500
Dy  0.500  0.000  0.500
Dy  0.500  0.500  0.000
Er  0.000  0.000  0.500
Er  0.000  0.500  0.000
Er  0.500  0.000  0.000
Er  0.500  0.500  0.500
Tl  0.250  0.250  0.250
Tl  0.250  0.750  0.750
Tl  0.750  0.250  0.750
Tl  0.750  0.750  0.250
Pb  0.250  0.250  0.750
Pb  0.250  0.750  0.250
Pb  0.750  0.250  0.250
Pb  0.750  0.750  0.750

Properties
energy above the most stable polymorph in this dataset = 37 meV per atom
formation energy from the elements = -336 meV/atom
space-group type = F-43m, No. 216

=====

(16)
The following is a PBE calculation of a relaxed structure of DyErTlPb, from the Alexandria database.

Cell: 4.999 4.999 8.779 Å, 90.00 90.00 90.00°
Sites, in units of the cell vectors:
Dy  0.000  0.000  0.000
Dy  0.500  0.500  0.500
Er  0.000  0.000  0.500
Er  0.500  0.500  0.000
Tl  0.000  0.500  0.750
Tl  0.500  0.000  0.250
Pb  0.000  0.500  0.250
Pb  0.500  0.000  0.750

Properties
energy above the most stable polymorph in this dataset = 0 meV per atom
formation energy from the elements = -373 meV/atom
space-group type = I-4m2, No. 119

=====

(17)
The following is a PBE calculation of a relaxed structure of Dy2Er6Tm3Pb, from the Alexandria database.

Cell: 6.030 6.030 11.579 Å, 95.00 95.00 120.03°
Sites, in units of the cell vectors:
Dy  0.166  0.834  0.000
Dy  0.834  0.166  0.000
Er  0.087  0.417  0.750
Er  0.253  0.253  0.251
Er  0.417  0.087  0.750
Er  0.583  0.913  0.250
Er  0.747  0.747  0.749
Er  0.913  0.583  0.250
Tm  0.000  0.000  0.500
Tm  0.333  0.667  0.500
Tm  0.667  0.333  0.500
Pb  0.500  0.500  0.000

Properties
formation energy from the elements = -49 meV/atom
space-group type = C2/m, No. 12

=====

(18)
The following is a PBE calculation of a relaxed structure of Dy6Er2Tm3Pb, from the Alexandria database.

Cell: 6.061 6.061 11.600 Å, 95.01 95.01 120.02°
Sites, in units of the cell vectors:
Dy  0.083  0.413  0.750
Dy  0.247  0.247  0.249
Dy  0.413  0.083  0.750
Dy  0.587  0.917  0.250
Dy  0.753  0.753  0.751
Dy  0.917  0.587  0.250
Er  0.334  0.666  0.500
Er  0.666  0.334  0.500
Tm  0.167  0.833  0.000
Tm  0.500  0.500  0.000
Tm  0.833  0.167  0.000
Pb  0.000  0.000  0.500

Properties
formation energy from the elements = -46 meV/atom
space-group type = C2/m, No. 12

=====

(19)
The following is a PBE calculation of a relaxed structure of Dy3Er2Tm6Pb, from the Alexandria database.

Cell: 6.036 6.036 11.539 Å, 95.04 95.04 120.02°
Sites, in units of the cell vectors:
Dy  0.000  0.000  0.000
Dy  0.333  0.667  0.000
Dy  0.667  0.333  0.000
Er  0.166  0.834  0.500
Er  0.834  0.166  0.500
Tm  0.088  0.418  0.252
Tm  0.252  0.252  0.749
Tm  0.418  0.088  0.252
Tm  0.582  0.912  0.748
Tm  0.748  0.748  0.251
Tm  0.912  0.582  0.748
Pb  0.500  0.500  0.500

Properties
formation energy from the elements = -44 meV/atom
space-group type = C2/m, No. 12

=====

(20)
The following is a PBE calculation of a relaxed structure of Dy2Er3Tm6Pb, from the Alexandria database.

Cell: 6.022 6.022 11.558 Å, 95.02 95.02 120.04°
Sites, in units of the cell vectors:
Dy  0.166  0.834  0.000
Dy  0.834  0.166  0.000
Er  0.000  0.000  0.500
Er  0.333  0.667  0.500
Er  0.667  0.333  0.500
Tm  0.088  0.418  0.751
Tm  0.253  0.253  0.251
Tm  0.418  0.088  0.751
Tm  0.582  0.912  0.249
Tm  0.747  0.747  0.749
Tm  0.912  0.582  0.249
Pb  0.500  0.500  0.000

Properties
formation energy from the elements = -49 meV/atom
space-group type = C2/m, No. 12

=====

(21)
The following is a PBE calculation of a relaxed structure of Dy6Er3Tm2Pb, from the Alexandria database.

Cell: 6.069 6.069 11.594 Å, 95.02 95.02 120.02°
Sites, in units of the cell vectors:
Dy  0.083  0.413  0.749
Dy  0.248  0.248  0.250
Dy  0.413  0.083  0.749
Dy  0.587  0.917  0.251
Dy  0.752  0.752  0.750
Dy  0.917  0.587  0.251
Er  0.167  0.833  0.000
Er  0.500  0.500  0.000
Er  0.833  0.167  0.000
Tm  0.334  0.666  0.500
Tm  0.666  0.334  0.500
Pb  0.000  0.000  0.500

Properties
formation energy from the elements = -44 meV/atom
space-group type = C2/m, No. 12

=====

(22)
The following is a PBE calculation of a relaxed structure of DyErZnPb, from the Alexandria database.

Cell: 7.381 7.381 7.381 Å, 90.00 90.00 90.00°
Sites, in units of the cell vectors:
Dy  0.000  0.000  0.000
Dy  0.000  0.500  0.500
Dy  0.500  0.000  0.500
Dy  0.500  0.500  0.000
Er  0.000  0.000  0.500
Er  0.000  0.500  0.000
Er  0.500  0.000  0.000
Er  0.500  0.500  0.500
Zn  0.250  0.250  0.250
Zn  0.250  0.750  0.750
Zn  0.750  0.250  0.750
Zn  0.750  0.750  0.250
Pb  0.250  0.250  0.750
Pb  0.250  0.750  0.250
Pb  0.750  0.250  0.250
Pb  0.750  0.750  0.750

Properties
formation energy from the elements = -351 meV/atom
space-group type = F-43m, No. 216

=====

(23)
The following is a PBE calculation of a relaxed structure of Dy2Er2Pd3, from the Alexandria database.

Cell: 4.920 4.923 7.742 Å, 71.48 71.52 89.92°
Sites, in units of the cell vectors:
Dy  0.126  0.125  0.249
Dy  0.874  0.875  0.751
Er  0.374  0.374  0.751
Er  0.626  0.626  0.249
Pd  0.000  0.500  0.500
Pd  0.255  0.756  0.988
Pd  0.745  0.244  0.012

Properties
formation energy from the elements = -727 meV/atom
space-group type = P-1, No. 2

=====

(24)
The following is a PBE calculation of a relaxed structure of Dy3Er2Pd2, from the Alexandria database.

Cell: 12.586 3.695 10.117 Å, 90.00 126.70 90.00°
Sites, in units of the cell vectors:
Dy  0.000  0.000  0.000
Dy  0.155  0.000  0.708
Dy  0.345  0.500  0.292
Dy  0.500  0.500  0.000
Dy  0.655  0.500  0.708
Dy  0.845  0.000  0.292
Er  0.112  0.500  0.374
Er  0.388  0.000  0.626
Er  0.612  0.000  0.374
Er  0.888  0.500  0.626
Pd  0.141  0.500  0.926
Pd  0.359  0.000  0.074
Pd  0.641  0.000  0.926
Pd  0.859  0.500  0.074

Properties
energy above the most stable polymorph in this dataset = 122 meV per atom
formation energy from the elements = -404 meV/atom
space-group type = C2/m, No. 12

=====

| no. | total DFT energy (no corrections) (eV/atom) |
| --- | --- |
| 1 | -5.13 |
| 2 | -4.48 |
| 3 | -4.60 |
| 4 | -6.80 |
| 5 | -5.81 |
| 6 | -5.45 |
| 7 | -6.03 |
| 8 | -6.02 |
| 9 | -4.60 |
| 10 | -4.59 |
| 11 | -4.59 |
| 12 | -4.67 |
| 13 | -4.58 |
| 14 | -4.92 |
| 15 | -4.15 |
| 16 | -4.18 |
| 17 | -4.52 |
| 18 | -4.53 |
| 19 | -4.50 |
| 20 | -4.50 |
| 21 | -4.54 |
| 22 | -3.89 |
| 23 | -5.57 |
| 24 | -5.16 |